## Sr2ScW3O12 (PBE+U)

Data for an optimized crystal structure of Sr2ScW3O12.

Lattice parameters (Å, degrees): 7.4606 7.4606 7.4606 60.36 60.36 60.36
Last column: nearest neighbours and their distance in Å.
Atoms (fractional coordinates):
W: 0.0000 0.5000 0.0000  6 O 1.92-1.97
W: 0.5000 0.0000 0.0000  6 O 1.92-1.97
W: 0.0000 0.0000 0.5000  6 O 1.92-1.97
O: 0.6915 0.6915 0.0546  2 W 1.97
O: 0.9250 0.9250 0.3395  1 W 1.92, 1 Sc 2.13
O: 0.0750 0.0750 0.6605  1 W 1.92, 1 Sc 2.13
O: 0.6605 0.0750 0.0750  1 W 1.92, 1 Sc 2.13
O: 0.3085 0.3085 0.9454  2 W 1.97
O: 0.3395 0.9250 0.9250  1 W 1.92, 1 Sc 2.13
O: 0.0546 0.6915 0.6915  2 W 1.97
O: 0.6915 0.0546 0.6915  2 W 1.97
O: 0.3085 0.9454 0.3085  2 W 1.97
O: 0.9454 0.3085 0.3085  2 W 1.97
O: 0.9250 0.3395 0.9250  1 W 1.92, 1 Sc 2.13
O: 0.0750 0.6605 0.0750  1 W 1.92, 1 Sc 2.13
Sr: 0.6947 0.6947 0.6947  6 O 2.62-2.66
Sr: 0.3053 0.3053 0.3053  6 O 2.62-2.66
Sc: 0.0000 0.0000 0.0000  6 O 2.13

Results
space-group type	No. 166
electronic total energy	-133.96	eV for the cell shown
M_tot	1.0	μB/f.u.